# 1
First-principles (PBE) data for a relaxed structure of AcPm6Nd12, as listed in the Alexandria database.

The value obtained for the total magnetic moment is 0.00 μB per cell. The calculation puts the formation energy from the elements at 132 meV per atom. As for the energy above the lowest structure with this stoichiometry: 0.000 eV/atom. Its crystal system is trigonal.

The structure belongs to space group R-3 (No. 148, hexagonal axes); the cell edges are 12.3562, 12.3562 and 15.5408 Å and the angles 90.00°, 90.00° and 120.00°. Symmetry generates all atoms from Ac at (0.0000, 0.0000, 0.0000), Pm at (0.0090, 0.4218, 0.6837), Nd at (0.0073, 0.8305, 0.1924) and Nd at (0.0441, 0.8493, 0.4174).

***

# 2
First-principles (PBE) data for a relaxed structure of CaAc15Sm4, as listed in the Alexandria database.

The value obtained for the total magnetic moment is 0.00 μB per cell. The calculation puts the formation energy from the elements at 25 meV per atom. Its crystal system is tetragonal.

The structure belongs to space group P4/mmm (No. 123); the cell edges are 5.549, 5.549 and 27.575 Å and the angles 90.00°, 90.00° and 90.00°. Symmetry generates all atoms from Ca at (0.000, 0.000, 0.000), Ac at (0.000, 0.500, 0.103), Ac at (0.000, 0.500, 0.301), Ac at (0.000, 0.500, 0.500), Ac at (0.500, 0.500, 0.000), Ac at (0.500, 0.500, 0.201), Ac at (0.500, 0.500, 0.400), Sm at (0.000, 0.000, 0.201) and Sm at (0.000, 0.000, 0.401).

***

# 3
First-principles (PBE) data for a relaxed structure of SmSiPd4, as listed in the Alexandria database.

Its formation energy (no corrections) is -644 meV/atom. The value obtained for the total magnetic moment is 0.00 μB per cell. As for the energy above the lowest structure with this stoichiometry: 0.109 eV/atom. Its crystal system is orthorhombic.

The structure belongs to space group Cmcm (No. 63); the cell edges are 4.754, 13.587 and 6.786 Å and the angles 90.00°, 90.00° and 90.00°. Symmetry generates all atoms from Sm at (0.000, 0.109, 0.250), Si at (0.000, 0.371, 0.250), Pd at (0.000, 0.106, 0.750), Pd at (0.000, 0.291, 0.550) and Pd at (0.000, 0.500, 0.000).

***

# 4
First-principles (PBE) data for a relaxed structure of KAg6Se2, as listed in the Alexandria database.

Its formation energy (no corrections) is -249 meV/atom. The value obtained for the total magnetic moment is 0.00 μB per cell. Its crystal system is tetragonal.

The structure belongs to space group P4/mmm (No. 123); the cell edges are 4.347, 4.347 and 10.560 Å and the angles 90.00°, 90.00° and 90.00°. Symmetry generates all atoms from K at (0.000, 0.000, 0.000), Ag at (0.000, 0.000, 0.500), Ag at (0.000, 0.500, 0.316), Ag at (0.500, 0.500, 0.500) and Se at (0.500, 0.500, 0.164).